A geometry-optimized ZrGa structure. Source: OQMD via LeMat-Bulk, functional PBE-GGA.

abc: 4.8702 15.3989 5.1998
angles: 90.00 90.00 90.00
Last column: nearest neighbours and their distance in Å.
Space group Amm2 (No. 38)
Asymmetric unit:
Zr (0.0000, 0.0000, 0.0000) (multiplicity 2)  10 Ga 2.87-3.07, 2 Zr 3.03
Zr (0.0000, 0.1948, 0.9254) (multiplicity 4)  3 Ga 2.80-2.91, 5 Zr 3.03-3.11
Zr (0.5000, 0.1856, 0.3172) (multiplicity 4)  5 Ga 2.86-2.96, 4 Zr 3.10-3.18
Ga (0.0000, 0.0937, 0.4779) (multiplicity 4)  5 Zr 2.80-3.07, 5 Ga 2.89-3.03
Ga (0.5000, 0.0000, 0.3479) (multiplicity 2)  4 Zr 2.86-3.03, 8 Ga 2.89-3.11
Ga (0.5000, 0.0969, 0.8232) (multiplicity 4)  5 Ga 2.89-3.11, 6 Zr 2.91-3.00



A geometry-optimized ZrGa structure. Source: OQMD via LeMat-Bulk, functional PBE-GGA.

abc: 4.8980 6.2448 5.0947
angles: 90.00 90.00 90.00
Last column: nearest neighbours and their distance in Å.
Space group Pmm2 (No. 25)
Asymmetric unit:
Zr (0.0000, 0.0000, 0.0000) (multiplicity 1)  6 Ga 2.98-3.12, 6 Zr 3.01-3.28
Zr (0.0000, 0.2672, 0.4906) (multiplicity 2)  6 Ga 2.90-3.19, 5 Zr 2.91-3.09
Zr (0.5000, 0.0000, 0.5726) (multiplicity 1)  6 Ga 2.95-3.12, 6 Zr 2.99-3.28
Ga (0.0000, 0.5000, 0.9851) (multiplicity 1)  6 Zr 2.91-3.12, 6 Ga 2.91-3.16
Ga (0.5000, 0.2627, 0.0908) (multiplicity 2)  5 Ga 2.91-2.96, 6 Zr 2.95-3.19
Ga (0.5000, 0.5000, 0.5937) (multiplicity 1)  6 Zr 2.90-3.12, 6 Ga 2.93-3.16



A geometry-optimized ZrGa2 structure. Source: OQMD via LeMat-Bulk, functional PBE-GGA.

abc: 7.4579 7.4579 7.4579
angles: 90.00 90.00 90.00
Last column: nearest neighbours and their distance in Å.
Space group Fd-3m (No. 227, origin choice 2)
Asymmetric unit:
Zr (0.1250, 0.1250, 0.1250) (multiplicity 8)  12 Ga 3.09, 4 Zr 3.23
Ga (0.0000, 0.0000, 0.5000) (multiplicity 16)  6 Ga 2.64



A geometry-optimized ZrGa structure. Source: OQMD via LeMat-Bulk, functional PBE-GGA.

abc: 4.7614 5.7143 11.4417
angles: 90.00 90.00 90.00
Last column: nearest neighbours and their distance in Å.
Space group Pmmn (No. 59, origin choice 2)
Asymmetric unit:
Zr (0.2500, 0.0001, 0.0800) (multiplicity 4)  7 Zr 2.86-3.15, 3 Ga 2.91-3.06
Zr (0.2500, 0.2500, 0.3257) (multiplicity 2)  10 Ga 2.86-3.09, 2 Zr 3.15
Zr (0.2500, 0.2500, 0.7928) (multiplicity 2)  6 Ga 2.77-2.98
Ga (0.2500, 0.0105, 0.5610) (multiplicity 4)  7 Ga 2.74-3.03, 2 Zr 2.98-3.02
Ga (0.2500, 0.7500, 0.3306) (multiplicity 2)  4 Zr 2.77-2.86, 6 Ga 3.01-3.03
Ga (0.2500, 0.7500, 0.8434) (multiplicity 2)  10 Zr 2.91-3.07



A geometry-optimized ZrGa structure. Source: OQMD via LeMat-Bulk, functional PBE-GGA.

abc: 5.1199 4.9586 8.1427
angles: 90.00 108.12 90.00
Last column: nearest neighbours and their distance in Å.
Space group Pm (No. 6)
Asymmetric unit:
Zr (0.0000, 0.0000, 0.0000) (multiplicity 1)  7 Ga 2.86-3.12, 3 Zr 2.95-3.11
Zr (0.0258, 0.5000, 0.2013) (multiplicity 1)  8 Zr 2.95-3.08, 4 Ga 3.16-3.25
Zr (0.2001, 0.0000, 0.4017) (multiplicity 1)  7 Ga 2.86-3.12, 3 Zr 2.95-3.11
Zr (0.4356, 0.5000, 0.9950) (multiplicity 1)  3 Zr 2.97-3.20, 7 Ga 2.98-3.04
Zr (0.6411, 0.5000, 0.4079) (multiplicity 1)  3 Zr 2.96-3.20, 7 Ga 2.98-3.03
Ga (0.2391, 0.5000, 0.6099) (multiplicity 1)  4 Ga 2.80-2.94, 5 Zr 2.98-3.01
Ga (0.3857, 0.0000, 0.7714) (multiplicity 1)  4 Ga 2.78-2.80, 4 Zr 2.86-3.11
Ga (0.6164, 0.0000, 0.2012) (multiplicity 1)  10 Zr 2.92-3.25
Ga (0.8143, 0.0000, 0.6301) (multiplicity 1)  4 Ga 2.78-2.80, 4 Zr 2.86-3.11
Ga (0.8328, 0.5000, 0.7929) (multiplicity 1)  4 Ga 2.80-2.94, 5 Zr 2.97-3.01



A geometry-optimized Zr2Ga structure. Source: OQMD via LeMat-Bulk, functional PBE-GGA.

abc: 6.7190 6.7190 5.4366
angles: 90.00 90.00 90.00
Last column: nearest neighbours and their distance in Å.
Space group I4/mcm (No. 140)
Asymmetric unit:
Zr (0.1536, 0.3464, 0.0000) (multiplicity 8)  4 Ga 2.89, 1 Zr 2.92
Ga (0.0000, 0.0000, 0.2500) (multiplicity 4)  2 Ga 2.72, 8 Zr 2.89



Number 1: calculated volume 19.5 Å³ per atom, VASP energy -12.2 eV per formula unit. Number 2: calculated volume 19.5 Å³ per atom, VASP energy -12.1 eV per formula unit. Number 3: calculated volume 17.3 Å³ per atom, VASP energy -16.0 eV per formula unit. Number 4: calculated volume 19.5 Å³ per atom, VASP energy -12.2 eV per formula unit. Number 5: calculated volume 19.6 Å³ per atom, VASP energy -12.0 eV per formula unit. Number 6: calculated volume 20.5 Å³ per atom, VASP energy -21.5 eV per formula unit.